DFT (PBE-GGA) results for a geometry-optimized PrEr structure. Values from VASP.

```
&SYSTEM
  ibrav = 0, nat = 2, ntyp = 2
/
ATOMIC_SPECIES
Pr 140.91 Pr.upf
Er 167.26 Er.upf
ATOMIC_POSITIONS crystal
Pr 0.500 0.500 0.500
Er 0.000 0.000 0.000
CELL_PARAMETERS angstrom
-3.425 2.053 -0.761
-1.958 -3.504 -0.638
-0.979 -0.171 3.941
```

Values from the calculation:
The value obtained for the energy above the most stable polymorph in this dataset is 70 meV per atom. The space group is Pm-3m (221). As for the calculated volume: 67.2 Å³ per cell. Its electronic total energy is -0.3363 Ry/atom. For the formation energy, the calculation gives 0.096 eV per atom.


DFT (PBE-GGA) results for a geometry-optimized K2Sn2Sb structure. Values from VASP.

```
&SYSTEM
  ibrav = 0, nat = 5, ntyp = 3
/
ATOMIC_SPECIES
Sb 121.76 Sb.upf
K 39.10 K.upf
Sn 118.71 Sn.upf
ATOMIC_POSITIONS crystal
Sb 0.000 0.000 0.000
K 0.402 0.402 0.196
K 0.598 0.598 0.804
Sn 0.750 0.250 0.500
Sn 0.250 0.750 0.500
CELL_PARAMETERS angstrom
-3.582 -1.479 -1.469
2.055 -2.995 -1.996
-1.717 -8.938 7.340
```

Values from the calculation:
The value obtained for the energy above the most stable polymorph in this dataset is 0 meV per atom. The space group is I4/mmm (139). The value obtained for the formation energy from raw total energies is -7.9 kJ per mole of atoms. As for the calculated volume: 194.4 Å³ per cell. Its electronic total energy is -0.2166 Ry/atom.


DFT (PBE-GGA) results for a geometry-optimized ZrCdCo structure. Values from VASP.

```
&SYSTEM
  ibrav = 0, nat = 3, ntyp = 3
/
ATOMIC_SPECIES
Cd 112.41 Cd.upf
Co 58.93 Co.upf
Zr 91.22 Zr.upf
ATOMIC_POSITIONS crystal
Cd 0.000 0.000 0.000
Co 0.500 0.500 0.500
Zr 0.750 0.750 0.750
CELL_PARAMETERS angstrom
-4.181 1.022 1.363
-2.781 -3.270 1.399
-1.091 -0.319 4.369
```

Values from the calculation:
The value obtained for the energy above the most stable polymorph in this dataset is 922 meV per atom. The space group is F-43m (216). As for the calculated volume: 65.1 Å³ per cell. Its electronic total energy is -0.3562 Ry/atom. For the formation energy, the calculation gives 0.676 eV per atom.


DFT (PBE-GGA) results for a geometry-optimized BaNiAg2 structure. Values from VASP.

```
&SYSTEM
  ibrav = 0, nat = 4, ntyp = 3
/
ATOMIC_SPECIES
Ag 107.87 Ag.upf
Ba 137.33 Ba.upf
Ni 58.69 Ni.upf
ATOMIC_POSITIONS crystal
Ag 0.000 0.000 0.000
Ag 0.250 0.250 0.250
Ba 0.500 0.500 0.500
Ni 0.750 0.750 0.750
CELL_PARAMETERS angstrom
-4.053 -3.048 -0.804
0.604 -4.491 -2.415
-0.461 -4.399 2.607
```

Values from the calculation:
The value obtained for the energy above the most stable polymorph in this dataset is 300 meV per atom. The space group is F-43m (216). As for the calculated volume: 95.7 Å³ per cell. Its electronic total energy is -0.2241 Ry/atom. For the formation energy, the calculation gives 0.303 eV per atom.


DFT (PBE-GGA) results for a geometry-optimized PPt3 structure. Values from VASP.

```
&SYSTEM
  ibrav = 0, nat = 8, ntyp = 2
/
ATOMIC_SPECIES
P 30.97 P.upf
Pt 195.08 Pt.upf
ATOMIC_POSITIONS crystal
P 0.709 0.291 0.750
P 0.291 0.709 0.250
Pt 0.117 0.883 0.750
Pt 0.883 0.117 0.250
Pt 0.575 0.806 0.750
Pt 0.425 0.194 0.250
Pt 0.806 0.575 0.250
Pt 0.194 0.425 0.750
CELL_PARAMETERS angstrom
-3.011 5.286 0.524
-4.338 -4.225 -0.785
-0.184 -0.441 3.389
```

Values from the calculation:
The value obtained for the energy above the most stable polymorph in this dataset is 47 meV per atom. The space group is Cmcm (63). As for the calculated volume: 123.2 Å³ per cell. Its electronic total energy is -0.4472 Ry/atom. For the formation energy, the calculation gives -0.202 eV per atom.


Among the records above, which one has the highest calculated volume? K2Sn2Sb